No. 1
# Cu2MoPt

An optimized crystal structure of Cu2MoPt (PBE, Alexandria via LeMat-Bulk).

Crystal system: trigonal
Excess energy over the best structure of this formula in the dataset (eV/atom): 0.1108
DOS at the Fermi energy (states/eV per cell): 4.7

a b c (Å): 2.7248 2.7248 26.3397
angles (deg): 90.00 90.00 120.00
Space group R-3m (No. 166, hexagonal axes)
Symmetry-distinct sites (fractional):
Cu1 0.0000 0.0000 0.2503 x6
Mo1 0.0000 0.0000 0.5000 x3
Pt1 0.0000 0.0000 0.0000 x3

***

No. 2
# Y2PdPt2

An optimized crystal structure of Y2PdPt2 (PBE, Alexandria via LeMat-Bulk).

Crystal system: tetragonal
Excess energy over the best structure of this formula in the dataset (eV/atom): 0.2286
DOS at the Fermi energy (states/eV per cell): 6.2

a b c (Å): 5.359 5.359 8.093
angles (deg): 90.00 90.00 90.00
Space group I4/mmm (No. 139)
Symmetry-distinct sites (fractional):
Y1 0.000 0.500 0.250 x4
Pd1 0.000 0.000 0.000 x2
Pt1 0.000 0.000 0.342 x4

***

No. 3
# Hf2TaHPd

An optimized crystal structure of Hf2TaHPd (PBE, Alexandria via LeMat-Bulk).

Calculated total energy (eV for the cell shown): -41.51
Crystal system: tetragonal
DOS at the Fermi energy (states/eV per cell): 4.3

a b c (Å): 4.572 4.572 3.745
angles (deg): 90.00 90.00 90.00
Space group P4/mmm (No. 123)
Symmetry-distinct sites (fractional):
Hf1 0.000 0.500 0.000 x2
Ta1 0.000 0.000 0.500 x1
H1 0.000 0.000 0.000 x1
Pd1 0.500 0.500 0.500 x1

***

No. 4
# InCu2BiSe4

An optimized crystal structure of InCu2BiSe4 (PBE, Alexandria via LeMat-Bulk).

Crystal system: tetragonal
Energy relative to the elements, uncorrected (eV/f.u.): -2.40

a b c (Å): 6.049 6.049 11.805
angles (deg): 90.00 90.00 90.00
Space group I-42m (No. 121)
Symmetry-distinct sites (fractional):
In1 0.000 0.000 0.000 x2
Cu1 0.000 0.500 0.250 x4
Bi1 0.000 0.000 0.500 x2
Se1 0.235 0.235 0.853 x8

***

No. 5
# Zr2NiPb2

An optimized crystal structure of Zr2NiPb2 (PBE, Alexandria via LeMat-Bulk).

Crystal system: tetragonal
Excess energy over the best structure of this formula in the dataset (eV/atom): 0.0000
DOS at the Fermi energy (states/eV per cell): 6.9

a b c (Å): 6.877 6.877 4.919
angles (deg): 90.00 90.00 90.00
Space group P4/mbm (No. 127)
Symmetry-distinct sites (fractional):
Zr1 0.163 0.337 0.000 x4
Ni1 0.000 0.000 0.000 x2
Pb1 0.163 0.663 0.500 x4

***

No. 6
# TlZn2Si2

An optimized crystal structure of TlZn2Si2 (PBE, Alexandria via LeMat-Bulk).

Crystal system: tetragonal
Energy relative to the elements, uncorrected (eV/f.u.): 1.82
Excess energy over the best structure of this formula in the dataset (eV/atom): 0.1698
DOS at the Fermi energy (states/eV per cell): 3.7

a b c (Å): 8.047 8.047 2.879
angles (deg): 90.00 90.00 90.00
Space group P4/mbm (No. 127)
Symmetry-distinct sites (fractional):
Tl1 0.000 0.000 0.000 x2
Zn1 0.144 0.356 0.500 x4
Si1 0.148 0.648 0.000 x4

***

No. 7
# SmYEr6

An optimized crystal structure of SmYEr6 (PBE, Alexandria via LeMat-Bulk).

Crystal system: triclinic
Excess energy over the best structure of this formula in the dataset (eV/atom): 0.0000
DOS at the Fermi energy (states/eV per cell): 15.5

a b c (Å): 5.829 6.410 6.817
angles (deg): 98.01 93.26 91.85
Space group P-1 (No. 2)
Symmetry-distinct sites (fractional):
Sm1 0.000 0.000 0.000 x1
Y1 0.000 0.000 0.500 x1
Er1 0.063 0.500 0.753 x2
Er2 0.446 0.269 0.350 x2
Er3 0.458 0.746 0.150 x2

***

No. 8
# Cr2MoAs

An optimized crystal structure of Cr2MoAs (PBE, Alexandria via LeMat-Bulk).

Calculated total energy (eV for the cell shown): -67.41
Crystal system: orthorhombic
DOS at the Fermi energy (states/eV per cell): 7.9

a b c (Å): 3.143 4.533 7.795
angles (deg): 90.00 90.00 90.00
Space group Cmmm (No. 65)
Symmetry-distinct sites (fractional):
Cr1 0.000 0.000 0.243 x4
Mo1 0.000 0.500 0.500 x2
As1 0.000 0.500 0.000 x2

***

No. 9
# TmTeF

An optimized crystal structure of TmTeF (PBE, Alexandria via LeMat-Bulk).

Crystal system: monoclinic
Energy relative to the elements, uncorrected (eV/f.u.): -7.65
Excess energy over the best structure of this formula in the dataset (eV/atom): 0.0000
DOS at the Fermi energy (states/eV per cell): 0.0

a b c (Å): 6.147 6.847 7.522
angles (deg): 90.00 119.88 90.00
Space group P2_1/c (No. 14)
Symmetry-distinct sites (fractional):
Tm1 0.120 0.179 0.226 x4
Te1 0.316 0.581 0.120 x4
F1 0.118 0.089 0.930 x4

***

No. 10
# Tb2CeNd

An optimized crystal structure of Tb2CeNd (PBE, Alexandria via LeMat-Bulk).

Crystal system: monoclinic
Excess energy over the best structure of this formula in the dataset (eV/atom): 0.0543
DOS at the Fermi energy (states/eV per cell): 30.1

a b c (Å): 23.135 3.443 6.492
angles (deg): 90.00 94.01 90.00
Space group C2/m (No. 12)
Symmetry-distinct sites (fractional):
Tb1 0.122 0.000 0.033 x4
Tb2 0.123 0.500 0.533 x4
Ce1 0.001 0.500 0.209 x4
Nd1 0.250 0.000 0.743 x4

***

No. 11
# NbTlNi2

An optimized crystal structure of NbTlNi2 (PBE, Alexandria via LeMat-Bulk).

Crystal system: tetragonal
Excess energy over the best structure of this formula in the dataset (eV/atom): 0.4547
DOS at the Fermi energy (states/eV per cell): 20.5

a b c (Å): 6.911 6.911 5.577
angles (deg): 90.00 90.00 90.00
Space group I-42d (No. 122)
Symmetry-distinct sites (fractional):
Nb1 0.000 0.000 0.000 x4
Tl1 0.000 0.000 0.500 x4
Ni1 0.229 0.250 0.125 x8

***

No. 12
# Hf2Re2W

An optimized crystal structure of Hf2Re2W (PBE, Alexandria via LeMat-Bulk).

Calculated total energy (eV for the cell shown): -115.15
Crystal system: tetragonal
DOS at the Fermi energy (states/eV per cell): 7.3

a b c (Å): 6.553 6.553 4.435
angles (deg): 90.00 90.00 90.00
Space group P4/mbm (No. 127)
Symmetry-distinct sites (fractional):
Hf1 0.178 0.322 0.000 x4
Re1 0.134 0.634 0.500 x4
W1 0.000 0.000 0.500 x2

***

No. 13
# CeCoSi2Ni2

An optimized crystal structure of CeCoSi2Ni2 (PBE, Alexandria via LeMat-Bulk).

Crystal system: tetragonal
Energy relative to the elements, uncorrected (eV/f.u.): -1.91
DOS at the Fermi energy (states/eV per cell): 6.1

a b c (Å): 4.338 4.338 4.983
angles (deg): 90.00 90.00 90.00
Space group P4/mmm (No. 123)
Symmetry-distinct sites (fractional):
Ce1 0.000 0.000 0.000 x1
Co1 0.000 0.000 0.500 x1
Si1 0.000 0.500 0.500 x2
Ni1 0.500 0.500 0.247 x2

***

No. 14
# SmTm2S4

An optimized crystal structure of SmTm2S4 (PBE, Alexandria via LeMat-Bulk).

Crystal system: orthorhombic
Energy relative to the elements, uncorrected (eV/f.u.): -14.42
Excess energy over the best structure of this formula in the dataset (eV/atom): 0.0000
DOS at the Fermi energy (states/eV per cell): 6.2

a b c (Å): 3.813 12.780 13.070
angles (deg): 90.00 90.00 90.00
Space group Cmcm (No. 63)
Symmetry-distinct sites (fractional):
Sm1 0.000 0.125 0.250 x4
Tm1 0.000 0.370 0.068 x8
S1 0.000 0.000 0.000 x4
S2 0.000 0.273 0.619 x8
S3 0.000 0.463 0.250 x4

***

No. 15
# Fe2NiPt7

An optimized crystal structure of Fe2NiPt7 (PBE, Alexandria via LeMat-Bulk).

Calculated total energy (eV for the cell shown): -121.88
Crystal system: orthorhombic
DOS at the Fermi energy (states/eV per cell): 25.9

a b c (Å): 7.194 12.952 3.964
angles (deg): 90.00 90.00 90.00
Space group Cmmm (No. 65)
Symmetry-distinct sites (fractional):
Fe1 0.000 0.195 0.000 x4
Ni1 0.000 0.500 0.500 x2
Pt1 0.000 0.000 0.000 x2
Pt2 0.000 0.305 0.500 x4
Pt3 0.190 0.395 0.000 x8

***

No. 16
# Cs2KAc

An optimized crystal structure of Cs2KAc (PBE, Alexandria via LeMat-Bulk).

Calculated total energy (eV for the cell shown): -16.73
Crystal system: trigonal
DOS at the Fermi energy (states/eV per cell): 13.2

a b c (Å): 4.3176 4.3176 50.9294
angles (deg): 90.00 90.00 120.00
Space group R-3m (No. 166, hexagonal axes)
Symmetry-distinct sites (fractional):
Cs1 0.0000 0.0000 0.0807 x6
K1 0.0000 0.0000 0.5000 x3
Ac1 0.0000 0.0000 0.0000 x3

***

No. 17
# EuNiAs

An optimized crystal structure of EuNiAs (PBE, Alexandria via LeMat-Bulk).

Calculated total energy (eV for the cell shown): -23.31
Crystal system: hexagonal
DOS at the Fermi energy (states/eV per cell): 9.2

a b c (Å): 4.0836 4.0836 4.2568
angles (deg): 90.00 90.00 120.00
Space group P-6m2 (No. 187)
Symmetry-distinct sites (fractional):
Eu1 0.0000 0.0000 0.0000 x1
Ni1 0.6667 0.3333 0.5000 x1
As1 0.3333 0.6667 0.5000 x1

***

No. 18
# LiAcMgGe2

An optimized crystal structure of LiAcMgGe2 (PBE, Alexandria via LeMat-Bulk).

Calculated total energy (eV for the cell shown): -39.22
Crystal system: tetragonal
DOS at the Fermi energy (states/eV per cell): 5.2

a b c (Å): 4.463 4.463 11.512
angles (deg): 90.00 90.00 90.00
Space group I-4m2 (No. 119)
Symmetry-distinct sites (fractional):
Li1 0.000 0.000 0.000 x2
Ac1 0.000 0.500 0.250 x2
Mg1 0.000 0.000 0.500 x2
Ge1 0.000 0.500 0.637 x4

***

No. 19
# Na14Cu2Te9

An optimized crystal structure of Na14Cu2Te9 (PBE, Alexandria via LeMat-Bulk).

Crystal system: trigonal
Energy relative to the elements, uncorrected (eV/f.u.): -17.93
DOS at the Fermi energy (states/eV per cell): 24.4

a b c (Å): 8.7937 8.7937 12.2543
angles (deg): 90.00 90.00 120.00
Space group P-3 (No. 147)
Symmetry-distinct sites (fractional):
Na1 0.0000 0.0000 0.2468 x2
Na2 0.0253 0.6730 0.4105 x6
Na3 0.0617 0.3771 0.0943 x6
Cu1 0.3333 0.6667 0.7596 x2
Te1 0.0000 0.0000 0.5000 x1
Te2 0.0620 0.3650 0.8360 x6
Te3 0.3333 0.6667 0.5404 x2

***

No. 20
# CuIrW

An optimized crystal structure of CuIrW (PBE, Alexandria via LeMat-Bulk).

Crystal system: orthorhombic
Excess energy over the best structure of this formula in the dataset (eV/atom): 0.1017
DOS at the Fermi energy (states/eV per cell): 21.0

a b c (Å): 5.241 8.681 7.465
angles (deg): 90.00 90.00 90.00
Space group Cmce (No. 64)
Symmetry-distinct sites (fractional):
Cu1 0.000 0.120 0.077 x8
Ir1 0.000 0.130 0.411 x8
W1 0.250 0.123 0.750 x8

***

No. 21
# ReRuPbO2

An optimized crystal structure of ReRuPbO2 (PBE, Alexandria via LeMat-Bulk).

Crystal system: tetragonal
Energy relative to the elements, uncorrected (eV/f.u.): 1.36
DOS at the Fermi energy (states/eV per cell): 4.2

a b c (Å): 3.814 3.814 5.659
angles (deg): 90.00 90.00 90.00
Space group P4/mmm (No. 123)
Symmetry-distinct sites (fractional):
Re1 0.000 0.000 0.000 x1
Ru1 0.000 0.000 0.500 x1
Pb1 0.500 0.500 0.000 x1
O1 0.000 0.500 0.500 x2

***

No. 22
# Sr3EuHg

An optimized crystal structure of Sr3EuHg (PBE, Alexandria via LeMat-Bulk).

Calculated total energy (eV for the cell shown): -16.13
Crystal system: cubic
DOS at the Fermi energy (states/eV per cell): 7.2

a b c (Å): 6.331 6.331 6.331
angles (deg): 90.00 90.00 90.00
Space group Pm-3m (No. 221)
Symmetry-distinct sites (fractional):
Sr1 0.000 0.000 0.500 x3
Eu1 0.500 0.500 0.500 x1
Hg1 0.000 0.000 0.000 x1

***

No. 23
# TaSi

An optimized crystal structure of TaSi (PBE, Alexandria via LeMat-Bulk).

Crystal system: orthorhombic
Energy relative to the elements, uncorrected (eV/f.u.): -0.94
DOS at the Fermi energy (states/eV per cell): 1.2

a b c (Å): 3.379 5.002 7.835
angles (deg): 90.00 90.00 90.00
Space group Immm (No. 71)
Symmetry-distinct sites (fractional):
Ta1 0.000 0.000 0.197 x4
Si1 0.000 0.238 0.500 x4

***

No. 24
# Ac5SbRu2

An optimized crystal structure of Ac5SbRu2 (PBE, Alexandria via LeMat-Bulk).

Crystal system: tetragonal
Energy relative to the elements, uncorrected (eV/f.u.): -3.39
DOS at the Fermi energy (states/eV per cell): 23.1

a b c (Å): 8.420 8.420 14.536
angles (deg): 90.00 90.00 90.00
Space group I4/mcm (No. 140)
Symmetry-distinct sites (fractional):
Ac1 0.000 0.000 0.000 x4
Ac2 0.159 0.341 0.133 x16
Sb1 0.000 0.000 0.250 x4
Ru1 0.143 0.357 0.500 x8